The following is a PBE calculation of U3AsS2 after structural relaxation, from Alexandria via LeMat-Bulk.

As for the crystal system: orthorhombic. As for the density of states at the Fermi level: 1.79 states/eV per atom. The formation energy from raw total energies comes out at -4.90 eV/f.u. Its space group is Cmcm. Its relative energy among the computed polymorphs is 0 meV/atom.

Lattice parameters (Å, degrees): 6.858 6.858 9.938 90.00 90.00 145.58
Atoms (fractional coordinates):
U (0.092, 0.908, 0.750)
U (0.345, 0.655, 0.542)
U (0.345, 0.655, 0.958)
U (0.655, 0.345, 0.042)
U (0.655, 0.345, 0.458)
U (0.908, 0.092, 0.250)
As (0.248, 0.752, 0.250)
As (0.752, 0.248, 0.750)
S (0.000, 0.000, 0.000)
S (0.000, 0.000, 0.500)
S (0.467, 0.533, 0.750)
S (0.533, 0.467, 0.250)


The following is a PBE calculation of U2AsS2 after structural relaxation, from Alexandria via LeMat-Bulk.

As for the crystal system: tetragonal. As for the density of states at the Fermi level: 1.27 states/eV per atom. The formation energy from raw total energies comes out at 1.91 eV/f.u. Its space group is P4/mmm. Its relative energy among the computed polymorphs is 1479 meV/atom.

Lattice parameters (Å, degrees): 2.655 2.655 15.600 90.00 90.00 90.00
Atoms (fractional coordinates):
U (0.000, 0.000, 0.190)
U (0.000, 0.000, 0.810)
As (0.000, 0.000, 0.000)
S (0.000, 0.000, 0.364)
S (0.000, 0.000, 0.636)


The following is a PBE calculation of U2AsS after structural relaxation, from Alexandria via LeMat-Bulk.

As for the crystal system: tetragonal. As for the density of states at the Fermi level: 2.09 states/eV per atom. The formation energy from raw total energies comes out at -3.19 eV/f.u. Its space group is P4/mmm. Its relative energy among the computed polymorphs is 246 meV/atom.

Lattice parameters (Å, degrees): 3.455 3.455 6.928 90.00 90.00 90.00
Atoms (fractional coordinates):
U (0.000, 0.000, 0.248)
U (0.000, 0.000, 0.752)
As (0.500, 0.500, 0.500)
S (0.500, 0.500, 0.000)


The following is a PBE calculation of U4AsS3 after structural relaxation, from Alexandria via LeMat-Bulk.

As for the crystal system: cubic. As for the density of states at the Fermi level: 2.26 states/eV per atom. The formation energy from raw total energies comes out at -9.46 eV/f.u. Its space group is Pm-3m.

Lattice parameters (Å, degrees): 5.540 5.540 5.540 90.00 90.00 90.00
Atoms (fractional coordinates):
U (0.000, 0.000, 0.000)
U (0.000, 0.500, 0.500)
U (0.500, 0.000, 0.500)
U (0.500, 0.500, 0.000)
As (0.500, 0.500, 0.500)
S (0.000, 0.000, 0.500)
S (0.000, 0.500, 0.000)
S (0.500, 0.000, 0.000)


Look up the formation energy from raw total energies of the first one.
-4.90 eV/f.u.


Which of these has the lowest formation energy from raw total energies?
U4AsS3